This record from Alexandria describes Cs2Li2NiF6 after structural relaxation. The functional is GGA+U.

```
data_Cs2Li2NiF6
_cell_length_a 10.6123
_cell_length_b 6.0728
_cell_length_c 7.3090
_cell_angle_alpha 90.00
_cell_angle_beta 133.23
_cell_angle_gamma 90.00
_space_group_name_H-M_alt 'C 1 2/m 1'
_space_group_IT_number 12
_space_group_name_Hall '-C 2y'
loop_
_atom_site_label
_atom_site_type_symbol
_atom_site_fract_x
_atom_site_fract_y
_atom_site_fract_z
Cs1 Cs 0.2271 0.0000 0.2200
Li1 Li 0.0059 0.5000 0.1732
Ni1 Ni 0.0000 0.0000 0.5000
F1 F 0.0050 0.2339 0.3095
F2 F 0.1966 0.5000 0.1901
```

E_tot = -4.3806 eV per atom
D(E_F) = 0.0 states/eV per cell